Entry 1:
Entry from Alexandria via LeMat-Bulk: crystalline Ta3CoW at its relaxed geometry (PBE).

Geometry as CIF:
```
data_Ta3CoW
_chemical_formula_sum 'Ta3 Co1 W1'
_cell_length_a 4.8195
_cell_length_b 4.8195
_cell_length_c 4.8195
_cell_angle_alpha 90.00
_cell_angle_beta 90.00
_cell_angle_gamma 90.00
_symmetry_space_group_name_H-M 'P m -3 m'
_symmetry_Int_Tables_number 221
_symmetry_space_group_name_Hall '-P 4 2 3'
loop_
_atom_site_label
_atom_site_type_symbol
_atom_site_fract_x
_atom_site_fract_y
_atom_site_fract_z
_atom_site_occupancy
Ta1 Ta 0.0000 0.0000 0.5000 1
Co1 Co 0.5000 0.5000 0.5000 1
W1 W 0.0000 0.0000 0.0000 1
```

Summary:
- E_form (eV/atom) = 1.9553



Entry 2:
Entry from Alexandria via LeMat-Bulk: crystalline MoRhS2 at its relaxed geometry (PBE).

Geometry as CIF:
```
data_MoRhS2
_chemical_formula_sum 'Mo4 Rh4 S8'
_cell_length_a 6.0503
_cell_length_b 6.0503
_cell_length_c 6.0503
_cell_angle_alpha 90.00
_cell_angle_beta 90.00
_cell_angle_gamma 90.00
_symmetry_space_group_name_H-M 'F m -3 m'
_symmetry_Int_Tables_number 225
_symmetry_space_group_name_Hall '-F 4 2 3'
loop_
_atom_site_label
_atom_site_type_symbol
_atom_site_fract_x
_atom_site_fract_y
_atom_site_fract_z
_atom_site_occupancy
Mo1 Mo 0.0000 0.0000 0.0000 1
Rh1 Rh 0.0000 0.0000 0.5000 1
S1 S 0.2500 0.2500 0.2500 1
```

Summary:
- formation energy from raw total energies (eV/f.u.) = -0.14



Entry 3:
Entry from Alexandria via LeMat-Bulk: crystalline Re2TcIr2 at its relaxed geometry (PBE).

Geometry as CIF:
```
data_Re2TcIr2
_chemical_formula_sum 'Re4 Tc2 Ir4'
_cell_length_a 4.7588
_cell_length_b 4.7675
_cell_length_c 7.2548
_cell_angle_alpha 102.66
_cell_angle_beta 108.87
_cell_angle_gamma 99.72
_symmetry_space_group_name_H-M 'P -1'
_symmetry_Int_Tables_number 2
_symmetry_space_group_name_Hall '-P 1'
loop_
_atom_site_label
_atom_site_type_symbol
_atom_site_fract_x
_atom_site_fract_y
_atom_site_fract_z
_atom_site_occupancy
Re1 Re 0.0989 0.0445 0.3484 1
Re2 Re 0.2956 0.6465 0.5476 1
Tc1 Tc 0.3028 0.1534 0.0528 1
Ir1 Ir 0.1066 0.5566 0.8479 1
Ir2 Ir 0.4978 0.2427 0.7477 1
```

Summary:
- E_form (eV/atom) = -0.1075



Entry 4:
Entry from Alexandria via LeMat-Bulk: crystalline LiInBr2 at its relaxed geometry (PBE).

Geometry as CIF:
```
data_LiInBr2
_chemical_formula_sum 'Li2 In2 Br4'
_cell_length_a 3.7251
_cell_length_b 3.9070
_cell_length_c 15.8442
_cell_angle_alpha 90.00
_cell_angle_beta 90.00
_cell_angle_gamma 90.00
_symmetry_space_group_name_H-M 'I m m 2'
_symmetry_Int_Tables_number 44
_symmetry_space_group_name_Hall 'I 2 -2'
loop_
_atom_site_label
_atom_site_type_symbol
_atom_site_fract_x
_atom_site_fract_y
_atom_site_fract_z
_atom_site_occupancy
Li1 Li 0.0000 0.0000 0.0000 1
In1 In 0.0000 0.5000 0.2593 1
Br1 Br 0.0000 0.0000 0.4454 1
Br2 Br 0.0000 0.5000 0.6498 1
```

Summary:
- formation energy from raw total energies (eV/f.u.) = -3.93



Entry 5:
Entry from Alexandria via LeMat-Bulk: crystalline Tb3ErTm3Te8 at its relaxed geometry (PBE).

Geometry as CIF:
```
data_Tb3ErTm3Te8
_chemical_formula_sum 'Tb9 Er3 Tm9 Te24'
_cell_length_a 8.6364
_cell_length_b 8.6364
_cell_length_c 21.1740
_cell_angle_alpha 90.00
_cell_angle_beta 90.00
_cell_angle_gamma 120.00
_symmetry_space_group_name_H-M 'R -3 m'
_symmetry_Int_Tables_number 166
_symmetry_space_group_name_Hall '-R 3 2"'
loop_
_atom_site_label
_atom_site_type_symbol
_atom_site_fract_x
_atom_site_fract_y
_atom_site_fract_z
_atom_site_occupancy
Tb1 Tb 0.0000 0.5000 0.0000 1
Er1 Er 0.0000 0.0000 0.5000 1
Tm1 Tm 0.0000 0.5000 0.5000 1
Te1 Te 0.0000 0.0000 0.2480 1
Te2 Te 0.0091 0.5045 0.7497 1
```

Summary:
- formation energy from raw total energies (eV/f.u.) = -19.94



Entry 6:
Entry from Alexandria via LeMat-Bulk: crystalline BaU4Pd3Se12 at its relaxed geometry (PBE).

Geometry as CIF:
```
data_BaU4Pd3Se12
_chemical_formula_sum 'Ba2 U8 Pd6 Se24'
_cell_length_a 10.2709
_cell_length_b 10.2709
_cell_length_c 10.2709
_cell_angle_alpha 90.00
_cell_angle_beta 90.00
_cell_angle_gamma 90.00
_symmetry_space_group_name_H-M 'I m -3'
_symmetry_Int_Tables_number 204
_symmetry_space_group_name_Hall '-I 2 2 3'
loop_
_atom_site_label
_atom_site_type_symbol
_atom_site_fract_x
_atom_site_fract_y
_atom_site_fract_z
_atom_site_occupancy
Ba1 Ba 0.0000 0.0000 0.0000 1
U1 U 0.2500 0.2500 0.2500 1
Pd1 Pd 0.0000 0.0000 0.5000 1
Se1 Se 0.0000 0.1622 0.3130 1
```

Summary:
- formation energy from raw total energies (eV/f.u.) = -17.51



Entry 7:
Entry from Alexandria via LeMat-Bulk: crystalline Ba2AlBi2H4 at its relaxed geometry (PBE).

Geometry as CIF:
```
data_Ba2AlBi2H4
_chemical_formula_sum 'Ba4 Al2 Bi4 H8'
_cell_length_a 6.8748
_cell_length_b 6.8748
_cell_length_c 8.9768
_cell_angle_alpha 90.00
_cell_angle_beta 90.00
_cell_angle_gamma 90.00
_symmetry_space_group_name_H-M 'I 4/m m m'
_symmetry_Int_Tables_number 139
_symmetry_space_group_name_Hall '-I 4 2'
loop_
_atom_site_label
_atom_site_type_symbol
_atom_site_fract_x
_atom_site_fract_y
_atom_site_fract_z
_atom_site_occupancy
Ba1 Ba 0.0000 0.5000 0.2500 1
Al1 Al 0.0000 0.0000 0.0000 1
Bi1 Bi 0.0000 0.0000 0.3366 1
H1 H 0.1776 0.1776 0.0000 1
```

Summary:
- electronic total energy (eV per atom) = -3.33



Entry 8:
Entry from Alexandria via LeMat-Bulk: crystalline Pu3PtAu3 at its relaxed geometry (PBE).

Geometry as CIF:
```
data_Pu3PtAu3
_chemical_formula_sum 'Pu6 Pt2 Au6'
_cell_length_a 3.4233
_cell_length_b 4.7390
_cell_length_c 19.8831
_cell_angle_alpha 90.00
_cell_angle_beta 90.00
_cell_angle_gamma 90.00
_symmetry_space_group_name_H-M 'I m m 2'
_symmetry_Int_Tables_number 44
_symmetry_space_group_name_Hall 'I 2 -2'
loop_
_atom_site_label
_atom_site_type_symbol
_atom_site_fract_x
_atom_site_fract_y
_atom_site_fract_z
_atom_site_occupancy
Pu1 Pu 0.0000 0.0000 0.0000 1
Pu2 Pu 0.0000 0.0000 0.3861 1
Pu3 Pu 0.0000 0.5000 0.2036 1
Pt1 Pt 0.0000 0.5000 0.7656 1
Au1 Au 0.0000 0.0000 0.5483 1
Au2 Au 0.0000 0.0000 0.8436 1
Au3 Au 0.0000 0.5000 0.6292 1
```

Summary:
- E_form (eV/atom) = -0.4603



Density of states at the Fermi level values (in states/eV/atom) by entry order: 2.43, 1.15, 0.96, 0.00, 0.44, 1.02, 0.67, 4.46.